1.
# SrLi2Os SCAN single point on PBEsol structure
data_SrLi2Os
_chemical_formula_sum 'Sr1 Li2 Os1'
_cell_length_a 2.702
_cell_length_b 4.774
_cell_length_c 5.689
_cell_angle_alpha 90.00
_cell_angle_beta 92.04
_cell_angle_gamma 90.00
_space_group_name_H-M_alt 'P 1 2/m 1'
_space_group_IT_number 10
loop_
_space_group_symop_operation_xyz
'x,y,z'
'-x,-y,-z'
'-x,y,-z'
'x,-y,z'
loop_
_atom_site_label
_atom_site_type_symbol
_atom_site_fract_x
_atom_site_fract_y
_atom_site_fract_z
Sr1 Sr 0.000 0.000 0.000
Li1 Li 0.196 0.500 0.681
Os1 Os 0.500 0.000 0.500
# Energy above the most stable polymorph in this dataset   0 meV/atom
# Energy of formation   0.4763 eV per atom

---

2.
# ZrFe2 SCAN single point on PBEsol structure
data_ZrFe2
_chemical_formula_sum 'Zr8 Fe16'
_cell_length_a 4.8885
_cell_length_b 4.8885
_cell_length_c 15.9372
_cell_angle_alpha 90.00
_cell_angle_beta 90.00
_cell_angle_gamma 120.00
_space_group_name_H-M_alt 'P 63/m m c'
_space_group_IT_number 194
_space_group_name_Hall '-P 6c 2c'
loop_
_atom_site_label
_atom_site_type_symbol
_atom_site_fract_x
_atom_site_fract_y
_atom_site_fract_z
Zr1 Zr 0.0000 0.0000 0.0938
Zr2 Zr 0.3333 0.6667 0.1565
Fe1 Fe 0.0000 0.5000 0.0000
Fe2 Fe 0.1656 0.3312 0.7500
Fe3 Fe 0.3333 0.6667 0.6250
# Energy of formation   -0.2333 eV per atom

---

3.
# CrSi2TeMo SCAN single point on PBEsol structure
data_CrSi2TeMo
_chemical_formula_sum 'Cr1 Si2 Te1 Mo1'
_cell_length_a 4.357
_cell_length_b 4.357
_cell_length_c 5.167
_cell_angle_alpha 90.00
_cell_angle_beta 90.00
_cell_angle_gamma 90.00
_space_group_name_H-M_alt 'P 4/m m m'
_space_group_IT_number 123
_space_group_name_Hall '-P 4 2'
loop_
_atom_site_label
_atom_site_type_symbol
_atom_site_fract_x
_atom_site_fract_y
_atom_site_fract_z
Cr1 Cr 0.000 0.000 0.000
Si1 Si 0.000 0.500 0.000
Te1 Te 0.000 0.000 0.500
Mo1 Mo 0.500 0.500 0.500
# ΔE_f (raw)   22.28 kcal/mol of atoms

---

4.
# Li2VF6 SCAN single point on PBEsol structure
data_Li2VF6
_chemical_formula_sum 'Li8 V4 F24'
_cell_length_a 5.392
_cell_length_b 9.100
_cell_length_c 8.265
_cell_angle_alpha 90.00
_cell_angle_beta 90.00
_cell_angle_gamma 90.00
_space_group_name_H-M_alt 'C m c 21'
_space_group_IT_number 36
loop_
_space_group_symop_operation_xyz
'x,y,z'
'-x,-y,z+1/2'
'-x,y,z'
'x,-y,z+1/2'
'x+1/2,y+1/2,z'
'-x+1/2,-y+1/2,z+1/2'
'-x+1/2,y+1/2,z'
'x+1/2,-y+1/2,z+1/2'
loop_
_atom_site_label
_atom_site_type_symbol
_atom_site_fract_x
_atom_site_fract_y
_atom_site_fract_z
Li1 Li 0.000 0.044 0.000
Li2 Li 0.000 0.274 0.452
V1 V 0.000 0.379 0.788
F1 F 0.000 0.180 0.817
F2 F 0.000 0.422 0.289
F3 F 0.230 0.366 0.621
F4 F 0.239 0.114 0.437
# Energy above the most stable polymorph in this dataset   39 meV/atom
# ΔE_f (raw)   -71.90 kcal/mol of atoms

---

5.
# Rb2TiZnAg SCAN single point on PBEsol structure
data_Rb2TiZnAg
_chemical_formula_sum 'Rb2 Ti1 Zn1 Ag1'
_cell_length_a 6.465
_cell_length_b 6.465
_cell_length_c 4.833
_cell_angle_alpha 90.00
_cell_angle_beta 90.00
_cell_angle_gamma 90.00
_space_group_name_H-M_alt 'P 4/m m m'
_space_group_IT_number 123
_space_group_name_Hall '-P 4 2'
loop_
_atom_site_label
_atom_site_type_symbol
_atom_site_fract_x
_atom_site_fract_y
_atom_site_fract_z
Rb1 Rb 0.000 0.500 0.000
Ti1 Ti 0.000 0.000 0.500
Zn1 Zn 0.500 0.500 0.000
Ag1 Ag 0.500 0.500 0.500
# Energy of formation   0.8095 eV per atom

---

6.
# LuRh3 SCAN single point on PBEsol structure
data_LuRh3
_chemical_formula_sum 'Lu9 Rh27'
_cell_length_a 5.1345
_cell_length_b 5.1345
_cell_length_c 25.6892
_cell_angle_alpha 90.00
_cell_angle_beta 90.00
_cell_angle_gamma 120.00
_space_group_name_H-M_alt 'R -3 m'
_space_group_IT_number 166
_space_group_name_Hall '-R 3 2"'
loop_
_atom_site_label
_atom_site_type_symbol
_atom_site_fract_x
_atom_site_fract_y
_atom_site_fract_z
Lu1 Lu 0.0000 0.0000 0.0000
Lu2 Lu 0.0000 0.0000 0.1391
Rh1 Rh 0.0000 0.0000 0.3332
Rh2 Rh 0.0000 0.0000 0.5000
Rh3 Rh 0.0009 0.5005 0.9169
# Energy of formation   -0.6460 eV per atom

---

7.
# YRhAu SCAN single point on PBEsol structure
data_YRhAu
_chemical_formula_sum 'Y4 Rh4 Au4'
_cell_length_a 6.354
_cell_length_b 6.354
_cell_length_c 6.354
_cell_angle_alpha 90.00
_cell_angle_beta 90.00
_cell_angle_gamma 90.00
_space_group_name_H-M_alt 'F -4 3 m'
_space_group_IT_number 216
_space_group_name_Hall 'F -4 2 3'
loop_
_atom_site_label
_atom_site_type_symbol
_atom_site_fract_x
_atom_site_fract_y
_atom_site_fract_z
Y1 Y 0.000 0.000 0.000
Rh1 Rh 0.250 0.250 0.750
Au1 Au 0.000 0.000 0.500
# Energy of formation   -0.6144 eV per atom

---

8.
# ZrCdHg2 SCAN single point on PBEsol structure
data_ZrCdHg2
_chemical_formula_sum 'Zr1 Cd1 Hg2'
_cell_length_a 3.180
_cell_length_b 3.180
_cell_length_c 8.197
_cell_angle_alpha 90.00
_cell_angle_beta 90.00
_cell_angle_gamma 90.00
_space_group_name_H-M_alt 'P 4 m m'
_space_group_IT_number 99
loop_
_space_group_symop_operation_xyz
'x,y,z'
'-y,x,z'
'-x,-y,z'
'y,-x,z'
'-x,y,z'
'y,x,z'
'x,-y,z'
'-y,-x,z'
loop_
_atom_site_label
_atom_site_type_symbol
_atom_site_fract_x
_atom_site_fract_y
_atom_site_fract_z
Zr1 Zr 0.000 0.000 0.000
Cd1 Cd 0.500 0.500 0.255
Hg1 Hg 0.000 0.000 0.499
Hg2 Hg 0.500 0.500 0.755
# Energy of formation   -0.1204 eV per atom

---

Results for mass density: 6.604 8.172 5.615 2.929 3.223 12.325 10.065 12.116 (in g/cm3, following the order of the records).